(1)
Material: K2CeIr3O12
Method: DFT, PBE
State: relaxed

Cell lengths 7.497, 7.497, 7.497 Å; angles 58.32, 58.32, 58.32 degrees
Fractional coordinates of all 18 atoms:
O  0.082  0.695  0.695
O  0.918  0.305  0.305
O  0.695  0.695  0.082
O  0.637  0.086  0.086
O  0.305  0.305  0.918
O  0.086  0.086  0.637
O  0.914  0.914  0.363
O  0.086  0.637  0.086
O  0.695  0.082  0.695
O  0.305  0.918  0.305
O  0.914  0.363  0.914
O  0.363  0.914  0.914
Ir  0.000  0.000  0.500
Ir  0.000  0.500  0.000
Ir  0.500  0.000  0.000
K  0.631  0.631  0.631
K  0.369  0.369  0.369
Ce  0.000  0.000  0.000

- Electronic total energy: -6.48 eV per atom
- N(E_F): 13.84 states/eV/cell
- Total magnetic moment: 0.00 Bohr magnetons per cell

=====

(2)
Material: KCe2IrO8
Method: DFT, PBE
State: relaxed

Cell lengths 5.164, 5.032, 7.166 Å; angles 90.02, 90.01, 89.56 degrees
Fractional coordinates of all 12 atoms:
O  0.177  0.801  0.185
O  0.361  0.305  0.500
O  0.176  0.801  0.815
O  0.824  0.199  0.185
O  0.715  0.730  0.000
O  0.285  0.270  0.000
O  0.823  0.199  0.815
O  0.639  0.695  0.500
Ce  0.500  0.500  0.254
Ce  0.500  0.500  0.746
K  0.000  0.000  0.500
Ir  0.000  0.000  0.000

- Electronic total energy: -7.10 eV per atom
- N(E_F): 3.59 states/eV/cell
- Total magnetic moment: 1.91 Bohr magnetons per cell

=====

(3)
Material: KCeIrO6
Method: DFT, PBE
State: relaxed

Cell lengths 7.450, 7.389, 7.272 Å; angles 120.53, 120.81, 90.00 degrees
Fractional coordinates of all 18 atoms:
Ce  0.000  0.000  0.500
Ce  0.500  0.000  0.500
O  0.576  0.826  0.153
O  0.808  0.163  0.257
O  0.550  0.406  0.743
O  0.450  0.594  0.257
O  0.550  0.837  0.743
O  0.854  0.104  0.708
O  0.450  0.163  0.257
O  0.808  0.594  0.257
O  0.424  0.174  0.847
O  0.146  0.896  0.292
O  0.192  0.406  0.743
O  0.192  0.837  0.743
Ir  0.500  0.000  0.000
Ir  0.500  0.500  0.000
K  0.844  0.594  0.689
K  0.156  0.406  0.311

- Electronic total energy: -6.70 eV per atom
- N(E_F): 1.99 states/eV/cell
- Total magnetic moment: 3.93 Bohr magnetons per cell

=====

(4)
Material: LaCe3Ir2
Method: DFT, PBE
State: relaxed

Cell lengths 4.594, 8.639, 8.569 Å; angles 117.23, 90.00, 105.42 degrees
Fractional coordinates of all 12 atoms:
Ce  0.709  0.418  0.365
Ce  0.623  0.246  0.694
Ce  0.929  0.858  0.569
Ce  0.377  0.754  0.306
Ce  0.291  0.582  0.635
Ce  0.071  0.142  0.431
Ir  0.476  0.952  0.802
Ir  0.524  0.048  0.198
Ir  0.766  0.532  0.119
Ir  0.234  0.468  0.881
La  0.110  0.219  0.025
La  0.890  0.781  0.975

- Energy of formation from the pure elements: -498 meV per atom
- N(E_F): 21.30 states/eV/cell
- Total magnetic moment: 0.00 Bohr magnetons per cell

=====

(5)
Material: La2CeIr
Method: DFT, PBE
State: relaxed

Cell lengths 4.083, 4.083, 9.817 Å; angles 78.00, 78.00, 60.00 degrees
Fractional coordinates of all 4 atoms:
La  0.057  0.057  0.830
La  0.276  0.276  0.171
Ce  0.501  0.501  0.497
Ir  0.666  0.666  0.002

- Energy of formation from the pure elements: -239 meV per atom
- Excess energy over the best structure of this formula in the dataset: 0.207 eV/atom
- N(E_F): 10.09 states/eV/cell
- Total magnetic moment: 2.17 Bohr magnetons per cell

=====

(6)
Material: LaCeIr2
Method: DFT, PBE
State: relaxed

Cell lengths 5.015, 5.015, 5.015 Å; angles 60.00, 60.00, 60.00 degrees
Fractional coordinates of all 4 atoms:
Ir  0.250  0.250  0.250
Ir  0.750  0.750  0.750
La  0.000  0.000  0.000
Ce  0.500  0.500  0.500

- Energy of formation from the pure elements: -613 meV per atom
- Excess energy over the best structure of this formula in the dataset: 0.125 eV/atom
- N(E_F): 4.33 states/eV/cell
- Total magnetic moment: 0.41 Bohr magnetons per cell

=====

(7)
Material: LaCeIr2
Method: DFT, PBE
State: relaxed

Cell lengths 7.486, 5.843, 8.472 Å; angles 90.00, 89.93, 90.00 degrees
Fractional coordinates of all 16 atoms:
Ir  0.949  0.153  0.859
Ir  0.559  0.673  0.612
Ir  0.059  0.827  0.612
Ir  0.051  0.847  0.141
Ir  0.941  0.173  0.388
Ir  0.449  0.347  0.859
Ir  0.441  0.327  0.388
Ir  0.551  0.653  0.141
La  0.823  0.646  0.874
La  0.177  0.354  0.126
La  0.323  0.854  0.874
La  0.677  0.146  0.126
Ce  0.823  0.654  0.377
Ce  0.677  0.154  0.623
Ce  0.323  0.846  0.377
Ce  0.177  0.346  0.623

- Energy of formation from the pure elements: -739 meV per atom
- Excess energy over the best structure of this formula in the dataset: 0.000 eV/atom
- N(E_F): 13.75 states/eV/cell
- Total magnetic moment: 0.00 Bohr magnetons per cell

=====

(8)
Material: LaCeIr2
Method: DFT, PBE
State: relaxed

Cell lengths 3.529, 3.529, 7.168 Å; angles 90.00, 90.00, 90.00 degrees
Fractional coordinates of all 4 atoms:
La  0.500  0.500  0.500
Ir  0.000  0.000  0.221
Ir  0.000  0.000  0.779
Ce  0.500  0.500  0.000

- Energy of formation from the pure elements: -654 meV per atom
- Excess energy over the best structure of this formula in the dataset: 0.085 eV/atom
- N(E_F): 3.13 states/eV/cell
- Total magnetic moment: 0.00 Bohr magnetons per cell